No. 1
{
  "formula": "Zr2PdAu",
  "functional": "PBE-GGA",
  "state": "relaxed",
  "space_group": "Immm, No. 71",
  "e_form_ev_per_atom": 0.20,
  "lattice": [[-1.490, 2.533, 5.502], [1.490, -2.533, 5.502], [1.490, 2.533, -5.502]],
  "species": ["Zr", "Zr", "Pd", "Au"],
  "frac_coords": [[0.235, 0.235, 0.000], [0.765, 0.765, 0.000], [0.000, 0.000, 0.000], [0.500, 0.500, 0.000]]
}

=====

No. 2
{
  "formula": "ZrPd5Au",
  "functional": "PBE-GGA",
  "state": "relaxed",
  "space_group": "P4/mmm, No. 123",
  "e_form_ev_per_atom": -0.28,
  "lattice": [[3.947, 0.000, 0.000], [0.000, 3.947, 0.000], [0.000, 0.000, 7.938]],
  "species": ["Zr", "Pd", "Pd", "Pd", "Pd", "Pd", "Au"],
  "frac_coords": [[0.000, 0.000, 0.000], [0.000, 0.000, 0.500], [0.000, 0.500, 0.236], [0.000, 0.500, 0.764], [0.500, 0.000, 0.236], [0.500, 0.000, 0.764], [0.500, 0.500, 0.500]]
}

=====

No. 3
{
  "formula": "ZrPd4Au2",
  "functional": "PBE-GGA",
  "state": "relaxed",
  "space_group": "P2_1/c, No. 14",
  "e_form_ev_per_atom": -0.33,
  "lattice": [[5.068, 0.000, 0.000], [0.000, 10.436, 0.000], [-2.053, 0.000, 4.635]],
  "species": ["Zr", "Zr", "Pd", "Pd", "Pd", "Pd", "Pd", "Pd", "Pd", "Pd", "Au", "Au", "Au", "Au"],
  "frac_coords": [[0.000, 0.000, 0.000], [0.000, 0.500, 0.500], [0.128, 0.201, 0.367], [0.128, 0.299, 0.867], [0.381, 0.687, 0.646], [0.381, 0.813, 0.146], [0.619, 0.187, 0.854], [0.619, 0.313, 0.354], [0.872, 0.701, 0.133], [0.872, 0.799, 0.633], [0.335, 0.546, 0.147], [0.335, 0.954, 0.647], [0.665, 0.046, 0.353], [0.665, 0.454, 0.853]]
}

=====

No. 4
{
  "formula": "Zr2Pd3Au3",
  "functional": "PBE-GGA",
  "state": "relaxed",
  "space_group": "R32, No. 155",
  "e_form_ev_per_atom": -0.62,
  "lattice": [[3.705, 2.139, 3.013], [-3.705, 2.139, 3.013], [0.000, -4.278, 3.013]],
  "species": ["Zr", "Zr", "Pd", "Pd", "Pd", "Au", "Au", "Au"],
  "frac_coords": [[0.247, 0.247, 0.247], [0.753, 0.753, 0.753], [0.000, 0.250, 0.750], [0.250, 0.750, 0.000], [0.750, 0.000, 0.250], [0.248, 0.752, 0.500], [0.500, 0.248, 0.752], [0.752, 0.500, 0.248]]
}

=====

No. 5
{
  "formula": "ZrPdAu4",
  "functional": "PBE-GGA",
  "state": "relaxed",
  "space_group": "C2/m, No. 12",
  "e_form_ev_per_atom": -0.37,
  "lattice": [[2.571, -4.402, 0.000], [2.571, 4.402, 0.000], [-1.962, 0.000, 4.745]],
  "species": ["Zr", "Pd", "Au", "Au", "Au", "Au"],
  "frac_coords": [[0.000, 0.000, 0.000], [0.500, 0.500, 0.500], [0.164, 0.836, 0.500], [0.335, 0.665, 0.000], [0.665, 0.335, 0.000], [0.836, 0.164, 0.500]]
}

=====

No. 6
{
  "formula": "ZrPd7Au4",
  "functional": "PBE-GGA",
  "state": "relaxed",
  "space_group": "C2/m, No. 12",
  "e_form_ev_per_atom": -0.02,
  "lattice": [[5.012, -2.473, 0.000], [5.012, 2.473, 0.000], [-4.837, 0.000, 8.695]],
  "species": ["Zr", "Pd", "Pd", "Pd", "Pd", "Pd", "Pd", "Pd", "Au", "Au", "Au", "Au"],
  "frac_coords": [[0.000, 0.000, 0.000], [0.114, 0.114, 0.458], [0.281, 0.281, 0.082], [0.344, 0.344, 0.382], [0.500, 0.500, 0.000], [0.656, 0.656, 0.618], [0.719, 0.719, 0.918], [0.886, 0.886, 0.542], [0.180, 0.180, 0.771], [0.415, 0.415, 0.690], [0.585, 0.585, 0.310], [0.820, 0.820, 0.229]]
}

=====

No. 7
{
  "formula": "ZrPd2Au5",
  "functional": "PBE-GGA",
  "state": "relaxed",
  "space_group": "P-1, No. 2",
  "e_form_ev_per_atom": -0.30,
  "lattice": [[5.040, 0.000, 0.000], [-1.707, 7.401, 0.000], [-0.023, -2.166, 7.621]],
  "species": ["Zr", "Zr", "Pd", "Pd", "Pd", "Pd", "Au", "Au", "Au", "Au", "Au", "Au", "Au", "Au", "Au", "Au"],
  "frac_coords": [[0.117, 0.024, 0.200], [0.883, 0.976, 0.800], [0.146, 0.721, 0.310], [0.448, 0.148, 0.943], [0.552, 0.852, 0.057], [0.854, 0.279, 0.690], [0.021, 0.337, 0.059], [0.221, 0.406, 0.438], [0.291, 0.097, 0.570], [0.330, 0.780, 0.690], [0.415, 0.467, 0.816], [0.585, 0.533, 0.184], [0.670, 0.220, 0.310], [0.709, 0.903, 0.430], [0.779, 0.594, 0.562], [0.979, 0.663, 0.941]]
}

=====

No. 8
{
  "formula": "ZrPd3Au6",
  "functional": "PBE-GGA",
  "state": "relaxed",
  "space_group": "P2_1/m, No. 11",
  "e_form_ev_per_atom": -0.29,
  "lattice": [[7.645, 0.000, 0.000], [0.000, 4.844, 0.000], [-3.036, 0.000, 9.438]],
  "species": ["Zr", "Zr", "Pd", "Pd", "Pd", "Pd", "Pd", "Pd", "Au", "Au", "Au", "Au", "Au", "Au", "Au", "Au", "Au", "Au", "Au", "Au"],
  "frac_coords": [[0.197, 0.250, 0.131], [0.803, 0.750, 0.869], [0.006, 0.250, 0.330], [0.203, 0.750, 0.469], [0.393, 0.250, 0.937], [0.607, 0.750, 0.063], [0.797, 0.250, 0.531], [0.994, 0.750, 0.670], [0.002, 0.750, 0.172], [0.189, 0.250, 0.627], [0.204, 0.750, 0.966], [0.397, 0.250, 0.432], [0.397, 0.750, 0.767], [0.405, 0.750, 0.266], [0.595, 0.250, 0.734], [0.603, 0.250, 0.233], [0.603, 0.750, 0.568], [0.796, 0.250, 0.034], [0.811, 0.750, 0.373], [0.998, 0.250, 0.828]]
}

=====

No. 9
{
  "formula": "ZrPd5Au2",
  "functional": "PBE-GGA",
  "state": "relaxed",
  "space_group": "I4/mcm, No. 140",
  "e_form_ev_per_atom": -0.28,
  "lattice": [[-3.511, 3.511, 5.604], [3.511, -3.511, 5.604], [3.511, 3.511, -5.604]],
  "species": ["Zr", "Zr", "Pd", "Pd", "Pd", "Pd", "Pd", "Pd", "Pd", "Pd", "Pd", "Pd", "Au", "Au", "Au", "Au"],
  "frac_coords": [[0.250, 0.250, 0.000], [0.750, 0.750, 0.000], [0.000, 0.000, 0.000], [0.019, 0.519, 0.203], [0.184, 0.981, 0.500], [0.316, 0.816, 0.797], [0.481, 0.684, 0.500], [0.500, 0.500, 0.000], [0.519, 0.316, 0.500], [0.684, 0.184, 0.203], [0.816, 0.019, 0.500], [0.981, 0.481, 0.797], [0.146, 0.354, 0.500], [0.354, 0.854, 0.208], [0.646, 0.146, 0.792], [0.854, 0.646, 0.500]]
}

=====

No. 10
{
  "formula": "Zr2PdAu",
  "functional": "PBE-GGA",
  "state": "relaxed",
  "space_group": "P4/mmm, No. 123",
  "e_form_ev_per_atom": -0.52,
  "lattice": [[3.335, 0.000, 0.000], [0.000, 3.335, 0.000], [0.000, 0.000, 7.039]],
  "species": ["Zr", "Zr", "Pd", "Au"],
  "frac_coords": [[0.000, 0.000, 0.240], [0.000, 0.000, 0.760], [0.500, 0.500, 0.000], [0.500, 0.500, 0.500]]
}

=====

No. 11
{
  "formula": "ZrPd3Au2",
  "functional": "PBE-GGA",
  "state": "relaxed",
  "space_group": "C2/m, No. 12",
  "e_form_ev_per_atom": -0.47,
  "lattice": [[7.402, -2.009, 0.000], [7.402, 2.009, 0.000], [-4.335, 0.000, 6.922]],
  "species": ["Zr", "Zr", "Pd", "Pd", "Pd", "Pd", "Pd", "Pd", "Au", "Au", "Au", "Au"],
  "frac_coords": [[0.092, 0.092, 0.242], [0.908, 0.908, 0.758], [0.079, 0.079, 0.707], [0.250, 0.250, 0.625], [0.417, 0.417, 0.537], [0.583, 0.583, 0.463], [0.750, 0.750, 0.375], [0.921, 0.921, 0.293], [0.253, 0.253, 0.132], [0.419, 0.419, 0.043], [0.581, 0.581, 0.957], [0.747, 0.747, 0.868]]
}

=====

No. 12
{
  "formula": "ZrPd5Au2",
  "functional": "PBE-GGA",
  "state": "relaxed",
  "space_group": "Pbam, No. 55",
  "e_form_ev_per_atom": -0.45,
  "lattice": [[5.702, 0.000, 0.000], [0.000, 11.356, 0.000], [0.000, 0.000, 4.099]],
  "species": ["Zr", "Zr", "Pd", "Pd", "Pd", "Pd", "Pd", "Pd", "Pd", "Pd", "Pd", "Pd", "Au", "Au", "Au", "Au"],
  "frac_coords": [[0.000, 0.000, 0.000], [0.500, 0.500, 0.000], [0.000, 0.500, 0.000], [0.012, 0.243, 0.000], [0.240, 0.879, 0.500], [0.260, 0.379, 0.500], [0.488, 0.743, 0.000], [0.500, 0.000, 0.000], [0.512, 0.257, 0.000], [0.740, 0.621, 0.500], [0.760, 0.121, 0.500], [0.988, 0.757, 0.000], [0.234, 0.629, 0.500], [0.266, 0.129, 0.500], [0.734, 0.871, 0.500], [0.766, 0.371, 0.500]]
}